No. 1
Entry from the Alexandria database: a relaxed Rb2BaVI6 crystal (PBE-GGA).

abc: 8.773 8.773 8.773
angles: 60.00 60.00 90.00
Last column: magnetic moment on the atom in μB.
Fractional coordinates of all 10 atoms:
1 I 0.271 0.729 0.000  -0.01
2 I 0.271 0.271 0.000  -0.01
3 I 0.271 0.271 0.458  -0.01
4 I 0.729 0.271 0.000  -0.01
5 I 0.729 0.729 0.000  -0.01
6 I 0.729 0.729 0.542  -0.01
7 Ba 0.000 0.000 0.000  -0.01
8 V 0.500 0.500 0.000  2.58
9 Rb 0.750 0.250 0.500  0.00
10 Rb 0.250 0.750 0.500  0.00

- Electronic total energy: -3.408 eV/atom
- Space-group type: Fm-3m (225)
- Magnetic moment: 0.300 μB/atom



No. 2
Entry from the Alexandria database: a relaxed RbBaW2I crystal (PBE-GGA).

abc: 5.157 5.157 6.813
angles: 90.00 90.00 90.00
Last column: magnetic moment on the atom in μB.
Fractional coordinates of all 5 atoms:
1 W 0.500 0.000 0.000  1.88
2 W 0.000 0.500 0.000  1.88
3 I 0.500 0.500 0.500  0.07
4 Rb 0.000 0.000 0.000  0.04
5 Ba 0.000 0.000 0.500  -0.01

- Electronic total energy: -3.289 eV/atom
- Space-group type: P4/mmm (123)
- Magnetic moment: 1.040 μB/atom



No. 3
Entry from the Alexandria database: a relaxed RbBaW2I crystal (PBE-GGA).

abc: 6.599 6.731 6.599
angles: 90.00 90.00 90.00
Last column: magnetic moment on the atom in μB.
Fractional coordinates of all 5 atoms:
1 Rb 0.500 0.500 0.500  0.01
2 I 0.000 0.500 0.000  0.03
3 W 0.000 0.000 0.500  3.31
4 W 0.500 0.000 0.000  3.48
5 Ba 0.000 0.000 0.000  0.14

- Electronic total energy: -3.939 eV/atom
- Space-group type: P4/mmm (123)
- Magnetic moment: 2.001 μB/atom



No. 4
Entry from the Alexandria database: a relaxed Rb2BaWI6 crystal (PBE-GGA).

abc: 8.686 8.686 8.686
angles: 60.00 60.00 90.00
Last column: magnetic moment on the atom in μB.
Fractional coordinates of all 10 atoms:
1 I 0.227 0.227 0.000  0.01
2 I 0.227 0.773 0.000  0.01
3 I 0.773 0.773 0.455  0.01
4 I 0.773 0.773 0.000  0.01
5 I 0.227 0.227 0.545  0.01
6 I 0.773 0.227 0.000  0.01
7 W 0.000 0.000 0.000  1.48
8 Rb 0.250 0.750 0.500  0.00
9 Rb 0.750 0.250 0.500  0.00
10 Ba 0.500 0.500 0.000  -0.03

- Electronic total energy: -3.419 eV/atom
- Space-group type: Fm-3m (225)
- Magnetic moment: 0.200 μB/atom